VASP calculation (GGA-PBE) on a relaxed structure of ErMg7Hg4.

It has space group C2/m (No. 12), with a = 12.719 Å, b = 5.446 Å, c = 10.272 Å, α = 90.00°, β = 125.74° and γ = 90.00°. The inequivalent atoms are Er at (0.000, 0.000, 0.000), Mg at (0.000, 0.500, 0.000), Mg at (0.064, 0.000, 0.366), Mg at (0.167, 0.500, 0.593), Mg at (0.219, 0.000, 0.890), Hg at (0.073, 0.500, 0.777) and Hg at (0.209, 0.500, 0.326).

As for the density: 6.6 g/cm³. The volume comes out at 24.064 Å³/atom. As for the formation energy: -0.008 eV per atom.



VASP calculation (GGA-PBE) on a relaxed structure of RbGdIn4.

It has space group F-43m (No. 216), with a = 8.866 Å, b = 8.866 Å, c = 8.866 Å, α = 90.00°, β = 90.00° and γ = 90.00°. The inequivalent atoms are Rb at (0.000, 0.000, 0.000), Gd at (0.250, 0.250, 0.750) and In at (0.125, 0.125, 0.375).

As for the density: 6.7 g/cm³. The volume comes out at 29.042 Å³/atom. As for the formation energy: -0.131 eV per atom.